DFT (PBE-GGA) results for a relaxed structure of SiBP.

The structure belongs to space group Pm (No. 6); the cell edges are 2.614, 2.388 and 6.216 Å and the angles 90.00°, 90.16° and 90.00°. Symmetry generates all atoms from Si at (0.000, 0.000, 0.000), B at (0.502, 0.000, 0.261) and P at (0.505, 0.000, 0.571).

The calculation puts the energy above the most stable polymorph in this dataset at 789.5 meV/atom. As for the formation energy (no corrections): 0.6213 eV per atom. The electronic total energy comes out at -0.38333 Ry per atom.

DFT (PBE-GGA) results for a relaxed structure of SiBP.

The structure belongs to space group P1 (No. 1); the cell edges are 2.643, 3.385 and 4.762 Å and the angles 90.77°, 105.17° and 110.83°. Symmetry generates all atoms from Si at (0.000, 0.000, 0.000), B at (0.803, 0.463, 0.216) and P at (0.004, 0.483, 0.631).

The calculation puts the energy above the most stable polymorph in this dataset at 554.3 meV/atom. As for the formation energy (no corrections): 0.3862 eV per atom. The electronic total energy comes out at -0.40061 Ry per atom.

DFT (PBE-GGA) results for a relaxed structure of SiB2P.

The structure belongs to space group Fm-3m (No. 225); the cell edges are 5.447, 5.447 and 5.447 Å and the angles 90.00°, 90.00° and 90.00°. Symmetry generates all atoms from Si at (0.000, 0.000, 0.000), B at (0.250, 0.250, 0.250) and P at (0.000, 0.000, 0.500).

The calculation puts the energy above the most stable polymorph in this dataset at 1364.0 meV/atom. As for the formation energy (no corrections): 1.3377 eV per atom. The electronic total energy comes out at -0.34612 Ry per atom.

DFT (PBE-GGA) results for a relaxed structure of SiBP.

The structure belongs to space group P1 (No. 1); the cell edges are 3.322, 3.709 and 3.945 Å and the angles 109.94°, 94.04° and 92.71°. Symmetry generates all atoms from Si at (0.000, 0.000, 0.000), B at (0.154, 0.567, 0.179) and P at (0.676, 0.826, 0.429).

The calculation puts the energy above the most stable polymorph in this dataset at 508.2 meV/atom. As for the formation energy (no corrections): 0.3401 eV per atom. The electronic total energy comes out at -0.40400 Ry per atom.

DFT (PBE-GGA) results for a relaxed structure of SiBP.

The structure belongs to space group P2 (No. 3); the cell edges are 3.296, 3.742 and 3.481 Å and the angles 90.00°, 116.29° and 90.00°. Symmetry generates all atoms from Si at (0.000, 0.000, 0.000), B at (0.000, 0.702, 0.500) and P at (0.500, 0.400, 0.500).

The calculation puts the energy above the most stable polymorph in this dataset at 304.5 meV/atom. As for the formation energy (no corrections): 0.1363 eV per atom. The electronic total energy comes out at -0.41898 Ry per atom.

DFT (PBE-GGA) results for a relaxed structure of SiBP.

The structure belongs to space group Imm2 (No. 44); the cell edges are 3.410, 3.419 and 14.860 Å and the angles 90.00°, 90.00° and 90.00°. Symmetry generates all atoms from Si at (0.000, 0.000, 0.000), Si at (0.000, 0.000, 0.299), B at (0.000, 0.000, 0.674), B at (0.000, 0.500, 0.229), P at (0.000, 0.500, 0.597) and P at (0.000, 0.500, 0.903).

The calculation puts the energy above the most stable polymorph in this dataset at 229.6 meV/atom. As for the formation energy (no corrections): 0.0614 eV per atom. The electronic total energy comes out at -0.42448 Ry per atom.

DFT (PBE-GGA) results for a relaxed structure of SiB2P.

The structure belongs to space group I-42d (No. 122); the cell edges are 4.647, 4.647 and 9.117 Å and the angles 90.00°, 90.00° and 90.00°. Symmetry generates all atoms from Si at (0.000, 0.000, 0.000), B at (0.234, 0.250, 0.625) and P at (0.000, 0.000, 0.500).

The calculation puts the energy above the most stable polymorph in this dataset at 30.9 meV/atom. As for the formation energy (no corrections): 0.0046 eV per atom. The electronic total energy comes out at -0.44411 Ry per atom.

DFT (PBE-GGA) results for a relaxed structure of SiBP.

The structure belongs to space group P1 (No. 1); the cell edges are 4.589, 4.758 and 4.846 Å and the angles 61.42°, 89.31° and 88.88°. Symmetry generates all atoms from Si at (0.000, 0.000, 0.000), Si at (0.418, 0.745, 0.954), B at (0.551, 0.952, 0.491), B at (0.685, 0.740, 0.295), P at (0.226, 0.247, 0.231) and P at (0.830, 0.289, 0.498).

The calculation puts the energy above the most stable polymorph in this dataset at 173.6 meV/atom. As for the formation energy (no corrections): 0.0055 eV per atom. The electronic total energy comes out at -0.42859 Ry per atom.

- Which formula does entry 7 have?
  SiB2P

- What is the electronic total energy in the first record?
  -0.38333 Ry per atom

- Which of these has the highest formation energy (no corrections)?
  number 3